Entry 1:
DFT (PBE) results for a relaxed NaSbPb2O6 crystal.

Cell: 5.6649 5.9880 8.7447 Å, 90.00 88.96 90.00°
Positions (direct):
Sb 0.0000 0.5000 0.0000
O 0.8020 0.8298 0.5242
O 0.1400 0.3763 0.8000
Na 0.0000 0.5000 0.5000
Na 0.5000 0.0000 0.0000
Pb 0.5134 0.5325 0.7810
O 0.3020 0.6702 0.0242
Pb 0.0134 0.9675 0.2810
O 0.8600 0.6237 0.2000
Pb 0.4866 0.4675 0.2190
O 0.3600 0.8763 0.7000
O 0.1663 0.2498 0.1169
O 0.1980 0.1702 0.4758
O 0.6980 0.3298 0.9758
O 0.6663 0.2502 0.6169
O 0.3337 0.7498 0.3831
O 0.8337 0.7502 0.8831
Sb 0.5000 0.0000 0.5000
O 0.6400 0.1237 0.3000
Pb 0.9866 0.0325 0.7190

Results
The calculation puts the theoretical density at 7.34 Mg/m³. As for the volume: 148.29 Å³/f.u. The formation energy from raw total energies is -1.237 eV/atom. Its space group is P2_1/c (14). The total magnetization is 0.000 μB/cell.



Entry 2:
DFT (PBE) results for a relaxed NaSbPbO3 crystal.

Cell: 3.4851 10.0262 6.4555 Å, 107.13 90.00 90.00°
Positions (direct):
Na 0.2500 0.6305 0.1494
Sb 0.7500 0.9514 0.2416
Pb 0.2500 0.3395 0.3180
O 0.7500 0.4755 0.2687
Pb 0.7500 0.6605 0.6820
O 0.2500 0.5245 0.7313
O 0.7500 0.0895 0.6079
O 0.2500 0.9105 0.3921
Sb 0.2500 0.0486 0.7584
O 0.2500 0.2434 0.9341
O 0.7500 0.7566 0.0659
Na 0.7500 0.3695 0.8506

Results
The calculation puts the theoretical density at 6.16 Mg/m³. As for the volume: 107.78 Å³/f.u. The formation energy from raw total energies is -1.297 eV/atom. Its space group is P2_1/m (11). The total magnetization is 0.000 μB/cell.



Entry 3:
DFT (PBE) results for a relaxed Na2SbPb3O6 crystal.

Cell: 6.2081 6.2081 6.1079 Å, 97.94 97.94 121.53°
Positions (direct):
O 0.8149 0.8149 0.2474
Na 0.3236 0.6764 0.0000
O 0.9249 0.6612 0.8146
Pb 0.1672 0.8328 0.5000
Pb 0.8328 0.1672 0.5000
Pb 0.5000 0.5000 0.5000
O 0.0751 0.3388 0.1854
Sb 0.0000 0.0000 0.0000
O 0.3388 0.0751 0.1854
O 0.1851 0.1851 0.7526
O 0.6612 0.9249 0.8146
Na 0.6764 0.3236 0.0000

Results
The calculation puts the theoretical density at 7.64 Mg/m³. As for the volume: 192.45 Å³/f.u. The formation energy from raw total energies is -1.225 eV/atom. Its space group is C2/m (12). The total magnetization is 0.000 μB/cell.